GaNi7Ge2P2 | PBE-GGA | relaxed

Computed properties:
total DFT energy (no corrections): -133.678 eV for the cell shown

```
data_GaNi7Ge2P2
_cell_length_a 4.9419
_cell_length_b 5.0064
_cell_length_c 13.2849
_cell_angle_alpha 90.00
_cell_angle_beta 95.25
_cell_angle_gamma 90.00
_symmetry_space_group_name_H-M 'C 1 2/m 1'
_symmetry_Int_Tables_number 12
_symmetry_space_group_name_Hall '-C 2y'
loop_
_atom_site_label
_atom_site_type_symbol
_atom_site_fract_x
_atom_site_fract_y
_atom_site_fract_z
_atom_site_occupancy
Ga1 Ga 0.0000 0.0000 0.0000 1
Ni1 Ni 0.0000 0.5000 0.0000 1
Ni2 Ni 0.1084 0.5000 0.4076 1
Ni3 Ni 0.2131 0.2501 0.8582 1
Ge1 Ge 0.1305 0.0000 0.4167 1
P1 P 0.0613 0.5000 0.2410 1
```



PaGa2Ni2Ge | PBE-GGA | relaxed

Computed properties:
total DFT energy (no corrections): -32.504 eV for the cell shown

```
data_PaGa2Ni2Ge
_cell_length_a 4.3688
_cell_length_b 4.3688
_cell_length_c 5.5329
_cell_angle_alpha 90.00
_cell_angle_beta 90.00
_cell_angle_gamma 90.00
_symmetry_space_group_name_H-M 'P 4/m m m'
_symmetry_Int_Tables_number 123
_symmetry_space_group_name_Hall '-P 4 2'
loop_
_atom_site_label
_atom_site_type_symbol
_atom_site_fract_x
_atom_site_fract_y
_atom_site_fract_z
_atom_site_occupancy
Pa1 Pa 0.0000 0.0000 0.0000 1
Ga1 Ga 0.5000 0.5000 0.2359 1
Ni1 Ni 0.0000 0.5000 0.5000 1
Ge1 Ge 0.0000 0.0000 0.5000 1
```



Pa2Ga4NiGe2 | PBE-GGA | relaxed

Computed properties:
total DFT energy (no corrections): -99.391 eV for the cell shown

```
data_Pa2Ga4NiGe2
_cell_length_a 6.0711
_cell_length_b 6.0711
_cell_length_c 8.9725
_cell_angle_alpha 90.00
_cell_angle_beta 90.00
_cell_angle_gamma 90.00
_symmetry_space_group_name_H-M 'I 4/m m m'
_symmetry_Int_Tables_number 139
_symmetry_space_group_name_Hall '-I 4 2'
loop_
_atom_site_label
_atom_site_type_symbol
_atom_site_fract_x
_atom_site_fract_y
_atom_site_fract_z
_atom_site_occupancy
Pa1 Pa 0.0000 0.5000 0.2500 1
Ga1 Ga 0.2218 0.2218 0.0000 1
Ni1 Ni 0.0000 0.0000 0.5000 1
Ge1 Ge 0.0000 0.0000 0.2314 1
```



Pm2GaNi6Ge | PBE-GGA | relaxed

Computed properties:
total DFT energy (no corrections): -111.690 eV for the cell shown

```
data_Pm2GaNi6Ge
_cell_length_a 11.5213
_cell_length_b 4.9570
_cell_length_c 8.0956
_cell_angle_alpha 90.00
_cell_angle_beta 134.05
_cell_angle_gamma 90.00
_symmetry_space_group_name_H-M 'C 1 2/m 1'
_symmetry_Int_Tables_number 12
_symmetry_space_group_name_Hall '-C 2y'
loop_
_atom_site_label
_atom_site_type_symbol
_atom_site_fract_x
_atom_site_fract_y
_atom_site_fract_z
_atom_site_occupancy
Pm1 Pm 0.2490 0.0000 0.2066 1
Ga1 Ga 0.0000 0.5000 0.0000 1
Ni1 Ni 0.0133 0.2513 0.2662 1
Ni2 Ni 0.2489 0.5000 0.4159 1
Ge1 Ge 0.0000 0.0000 0.5000 1
```



Pm2GaNi4Ge3 | PBE-GGA | relaxed

Computed properties:
total DFT energy (no corrections): -56.421 eV for the cell shown

```
data_Pm2GaNi4Ge3
_cell_length_a 4.1330
_cell_length_b 4.1330
_cell_length_c 9.7742
_cell_angle_alpha 90.00
_cell_angle_beta 90.00
_cell_angle_gamma 90.00
_symmetry_space_group_name_H-M 'P -4 m 2'
_symmetry_Int_Tables_number 115
_symmetry_space_group_name_Hall 'P -4 -2'
loop_
_atom_site_label
_atom_site_type_symbol
_atom_site_fract_x
_atom_site_fract_y
_atom_site_fract_z
_atom_site_occupancy
Pm1 Pm 0.0000 0.5000 0.2485 1
Ga1 Ga 0.0000 0.0000 0.5000 1
Ni1 Ni 0.0000 0.0000 0.0000 1
Ni2 Ni 0.0000 0.5000 0.6305 1
Ni3 Ni 0.5000 0.5000 0.0000 1
Ge1 Ge 0.0000 0.5000 0.8734 1
Ge2 Ge 0.5000 0.5000 0.5000 1
```



PmGaNiGe | PBE-GGA | relaxed

Computed properties:
total DFT energy (no corrections): -62.374 eV for the cell shown

```
data_PmGaNiGe
_cell_length_a 4.0868
_cell_length_b 4.0868
_cell_length_c 15.7895
_cell_angle_alpha 90.00
_cell_angle_beta 90.00
_cell_angle_gamma 120.00
_symmetry_space_group_name_H-M 'R 3 m'
_symmetry_Int_Tables_number 160
_symmetry_space_group_name_Hall 'R 3 -2"'
loop_
_atom_site_label
_atom_site_type_symbol
_atom_site_fract_x
_atom_site_fract_y
_atom_site_fract_z
_atom_site_occupancy
Pm1 Pm 0.0000 0.0000 0.0000 1
Ga1 Ga 0.0000 0.0000 0.7877 1
Ni1 Ni 0.0000 0.0000 0.5063 1
Ge1 Ge 0.0000 0.0000 0.2131 1
```